Record 1
Below is crystalline Mg4Tl5Cd at its relaxed geometry, with properties calculated at the PBE level.

Summary:
Symmetry: P4/mmm (123)
Formation enthalpy at 0 K: -0.009 eV/atom
DOS at the Fermi energy: 0.353 states/eV per atom

a = 3.6533 Å, b = 3.6533 Å, c = 18.9359 Å
α = 90.00°, β = 90.00°, γ = 90.00°
With the nearest neighbours (Å) after each atom.
Positions (direct):
Mg: 0.0000 0.0000 0.2097  8 Tl 3.16-3.24
Mg: 0.0000 0.0000 0.4047  8 Tl 3.15-3.19
Mg: 0.0000 0.0000 0.5953  8 Tl 3.15-3.19
Mg: 0.0000 0.0000 0.7903  8 Tl 3.16-3.24
Tl: 0.5000 0.5000 0.1068  4 Mg 3.24, 4 Cd 3.28
Tl: 0.5000 0.5000 0.3059  8 Mg 3.16-3.19
Tl: 0.5000 0.5000 0.5000  8 Mg 3.15
Tl: 0.5000 0.5000 0.6941  8 Mg 3.16-3.19
Tl: 0.5000 0.5000 0.8932  4 Mg 3.24, 4 Cd 3.28
Cd: 0.0000 0.0000 0.0000  8 Tl 3.28, 4 Cd 3.65


Record 2
Below is crystalline Mg5TlCd2 at its relaxed geometry, with properties calculated at the PBE level.

Summary:
Polymorph energy (0 for the lowest one): 10 meV per atom
Symmetry: I4/mcm (140)
Formation enthalpy at 0 K: -0.031 eV/atom
DOS at the Fermi energy: 0.403 states/eV per atom

a = 7.4870 Å, b = 7.4870 Å, c = 8.5064 Å
α = 116.11°, β = 116.11°, γ = 90.00°
With the nearest neighbours (Å) after each atom.
Positions (direct):
Mg: 0.4960 0.6904 0.6864  3 Cd 3.02-3.03, 2 Tl 3.10, 4 Mg 3.22-3.38
Mg: 0.8096 0.0040 0.3136  3 Cd 3.02-3.03, 2 Tl 3.10, 4 Mg 3.22-3.38
Mg: 0.0000 0.0000 0.0000  4 Cd 2.89
Mg: 0.5000 0.5000 0.0000  4 Cd 2.89
Mg: 0.1904 0.9960 0.6864  3 Cd 3.02-3.03, 2 Tl 3.10, 4 Mg 3.22-3.38
Mg: 0.6904 0.1904 0.6864  3 Cd 3.02-3.03, 2 Tl 3.10, 4 Mg 3.22-3.38
Mg: 0.9960 0.4960 0.6864  3 Cd 3.02-3.03, 2 Tl 3.10, 4 Mg 3.22-3.38
Mg: 0.3096 0.8096 0.3136  3 Cd 3.02-3.03, 2 Tl 3.10, 4 Mg 3.22-3.38
Mg: 0.0040 0.5040 0.3136  3 Cd 3.02-3.03, 2 Tl 3.10, 4 Mg 3.22-3.38
Mg: 0.5040 0.3096 0.3136  3 Cd 3.02-3.03, 2 Tl 3.10, 4 Mg 3.22-3.38
Tl: 0.7500 0.7500 0.5000  10 Mg 3.10-3.33
Tl: 0.2500 0.2500 0.5000  10 Mg 3.10-3.33
Cd: 0.1410 0.3590 0.0000  8 Mg 2.89-3.03, 1 Cd 2.99
Cd: 0.6410 0.1410 0.0000  8 Mg 2.89-3.03, 1 Cd 2.99
Cd: 0.3590 0.8590 0.0000  8 Mg 2.89-3.03, 1 Cd 2.99
Cd: 0.8590 0.6410 0.0000  8 Mg 2.89-3.03, 1 Cd 2.99


Record 3
Below is crystalline Mg14TlCd at its relaxed geometry, with properties calculated at the PBE level.

Summary:
Symmetry: Amm2 (38)
Formation enthalpy at 0 K: -0.008 eV/atom
DOS at the Fermi energy: 0.428 states/eV per atom

a = 6.3078 Å, b = 6.3078 Å, c = 10.3495 Å
α = 90.00°, β = 90.00°, γ = 116.30°
With the nearest neighbours (Å) after each atom.
Positions (direct):
Mg: 0.1994 0.8006 0.0000  12 Mg 3.13-3.33
Mg: 0.6971 0.3029 0.0000  12 Mg 3.14-3.33
Mg: 0.0500 0.4494 0.5000  2 Tl 3.13-3.18, 2 Cd 3.14-3.17, 8 Mg 3.18-3.33
Mg: 0.1971 0.2963 0.0000  12 Mg 3.13-3.37
Mg: 0.5506 0.9500 0.5000  2 Tl 3.13-3.18, 2 Cd 3.14-3.17, 8 Mg 3.18-3.33
Mg: 0.7037 0.8029 0.0000  12 Mg 3.13-3.37
Mg: 0.3740 0.1220 0.7494  10 Mg 3.14-3.36, 1 Cd 3.17, 1 Tl 3.19
Mg: 0.3740 0.1220 0.2506  10 Mg 3.14-3.36, 1 Cd 3.17, 1 Tl 3.19
Mg: 0.8780 0.6260 0.7494  10 Mg 3.14-3.36, 1 Cd 3.17, 1 Tl 3.19
Mg: 0.8780 0.6260 0.2506  10 Mg 3.14-3.36, 1 Cd 3.17, 1 Tl 3.19
Mg: 0.3755 0.6245 0.7544  11 Mg 3.14-3.33, 1 Tl 3.21
Mg: 0.3755 0.6245 0.2456  11 Mg 3.14-3.33, 1 Tl 3.21
Mg: 0.8756 0.1244 0.7502  11 Mg 3.15-3.33, 1 Cd 3.18
Mg: 0.8756 0.1244 0.2498  11 Mg 3.15-3.33, 1 Cd 3.18
Tl: 0.5473 0.4527 0.5000  10 Mg 3.13-3.21, 2 Cd 3.33
Cd: 0.0485 0.9515 0.5000  10 Mg 3.14-3.18, 2 Tl 3.33


Record 4
Below is crystalline Mg3Tl2Cd2 at its relaxed geometry, with properties calculated at the PBE level.

Summary:
Polymorph energy (0 for the lowest one): 13 meV per atom
Symmetry: P-1 (2)
Formation enthalpy at 0 K: -0.018 eV/atom
DOS at the Fermi energy: 0.355 states/eV per atom

a = 3.3703 Å, b = 7.4913 Å, c = 7.6471 Å
α = 113.21°, β = 90.46°, γ = 103.57°
With the nearest neighbours (Å) after each atom.
Positions (direct):
Mg: 0.0000 0.0000 0.0000  2 Cd 2.98, 4 Tl 3.24-3.25, 2 Mg 3.32
Mg: 0.7080 0.4088 0.2836  3 Cd 2.99-3.03, 3 Tl 3.19-3.28, 1 Mg 3.32
Mg: 0.2920 0.5912 0.7164  3 Cd 2.99-3.03, 3 Tl 3.19-3.28, 1 Mg 3.32
Tl: 0.6359 0.2725 0.8304  5 Mg 3.19-3.28, 4 Cd 3.30-3.42, 2 Tl 3.37
Tl: 0.3641 0.7275 0.1696  5 Mg 3.19-3.28, 4 Cd 3.30-3.42, 2 Tl 3.37
Cd: 0.9233 0.8415 0.5741  1 Cd 2.96, 4 Mg 2.98-3.03, 1 Tl 3.30
Cd: 0.0767 0.1585 0.4259  1 Cd 2.96, 4 Mg 2.98-3.03, 1 Tl 3.30


Record 5
Below is crystalline Mg12Tl5Cd2 at its relaxed geometry, with properties calculated at the PBE level.

Summary:
Polymorph energy (0 for the lowest one): 79 meV per atom
Symmetry: C2/m (12)
Formation enthalpy at 0 K: 0.068 eV/atom
DOS at the Fermi energy: 0.401 states/eV per atom

a = 6.2336 Å, b = 8.8456 Å, c = 9.8108 Å
α = 102.73°, β = 90.00°, γ = 110.63°
With the nearest neighbours (Å) after each atom.
Positions (direct):
Mg: 0.0972 0.1945 0.2907  1 Tl 2.89, 2 Mg 3.05
Mg: 0.0483 0.6063 0.8834  3 Tl 2.89-3.10, 5 Mg 3.05-3.23, 1 Cd 3.19
Mg: 0.5580 0.6063 0.8834  3 Tl 2.89-3.10, 5 Mg 3.05-3.23, 1 Cd 3.19
Mg: 0.1058 0.7050 0.3872  4 Tl 2.90-3.03, 3 Mg 3.08-3.23
Mg: 0.5992 0.7050 0.3872  4 Tl 2.90-3.03, 3 Mg 3.08-3.23
Mg: 0.4807 0.9614 0.6577  2 Tl 2.91-2.92
Mg: 0.5193 0.0386 0.3423  2 Tl 2.91-2.92
Mg: 0.8942 0.2950 0.6128  4 Tl 2.90-3.03, 3 Mg 3.08-3.23
Mg: 0.4008 0.2950 0.6128  4 Tl 2.90-3.03, 3 Mg 3.08-3.23
Mg: 0.9517 0.3937 0.1166  3 Tl 2.89-3.10, 5 Mg 3.05-3.23, 1 Cd 3.19
Mg: 0.4420 0.3937 0.1166  3 Tl 2.89-3.10, 5 Mg 3.05-3.23, 1 Cd 3.19
Mg: 0.9028 0.8055 0.7093  1 Tl 2.89, 2 Mg 3.05
Tl: 0.3006 0.6012 0.6182  7 Mg 2.92-3.04
Tl: 0.3617 0.7234 0.1332  7 Mg 2.89-3.10
Tl: 0.0000 0.0000 0.5000  6 Mg 2.89-2.90
Tl: 0.6383 0.2766 0.8668  7 Mg 2.89-3.10
Tl: 0.6994 0.3988 0.3818  7 Mg 2.92-3.04
Cd: 0.7559 0.0000 0.0000  2 Cd 3.04-3.19, 4 Mg 3.19-3.30, 2 Tl 3.30
Cd: 0.2441 0.0000 0.0000  2 Cd 3.04-3.19, 4 Mg 3.19-3.30, 2 Tl 3.30


Record 6
Below is crystalline Mg7Tl2Cd2 at its relaxed geometry, with properties calculated at the PBE level.

Summary:
Polymorph energy (0 for the lowest one): 0 meV per atom
Symmetry: Imm2 (44)
Formation enthalpy at 0 K: -0.014 eV/atom
DOS at the Fermi energy: 0.368 states/eV per atom

a = 3.3573 Å, b = 9.5176 Å, c = 9.5176 Å
α = 62.24°, β = 79.84°, γ = 79.84°
With the nearest neighbours (Å) after each atom.
Positions (direct):
Mg: 0.8239 0.0421 0.3100  3 Cd 2.92-3.07, 1 Tl 2.93, 2 Mg 3.19
Mg: 0.8417 0.4629 0.8536  3 Cd 2.97-3.28, 2 Tl 3.05, 2 Mg 3.19
Mg: 0.5000 0.0427 0.9573  3 Tl 2.92-3.08
Mg: 0.6104 0.4753 0.3039  2 Cd 2.99, 3 Tl 3.00-3.10, 2 Mg 3.32
Mg: 0.3896 0.6961 0.5247  2 Cd 2.99, 3 Tl 3.00-3.10, 2 Mg 3.32
Mg: 0.1761 0.6900 0.9579  3 Cd 2.92-3.07, 1 Tl 2.93, 2 Mg 3.19
Mg: 0.1583 0.1464 0.5371  3 Cd 2.97-3.28, 2 Tl 3.05, 2 Mg 3.19
Tl: 0.0000 0.7804 0.2196  8 Mg 2.93-3.10
Tl: 0.5000 0.3391 0.6609  7 Mg 2.92-3.05
Cd: 0.7348 0.8546 0.6758  7 Mg 2.92-3.07
Cd: 0.2652 0.3242 0.1454  7 Mg 2.92-3.07